No. 1
# K3Ac2HgO6

K3Ac2HgO6 after structural relaxation (GGA-PBE, Alexandria).

Computed properties:
E_form (uncorrected): -1.892 eV/atom

Cell: 6.766 6.766 6.539 Å, 96.39 96.39 124.33°
Site moments in Bohr magnetons follow the coordinates.
Atoms (fractional coordinates):
1 O 0.248 0.248 0.829  0.00
2 O 0.452 0.071 0.226  0.19
3 O 0.071 0.452 0.226  0.19
4 K 0.500 0.500 0.500  0.00
5 O 0.752 0.752 0.171  0.00
6 K 0.156 0.844 0.500  0.00
7 O 0.929 0.548 0.774  0.19
8 Ac 0.670 0.330 0.000  0.05
9 Ac 0.330 0.670 0.000  0.05
10 K 0.844 0.156 0.500  0.00
11 O 0.548 0.929 0.774  0.19
12 Hg 0.000 0.000 0.000  0.00

---

No. 2
# K2AcHg2O4

K2AcHg2O4 after structural relaxation (GGA-PBE, Alexandria).

Computed properties:
E_form (uncorrected): -1.425 eV/atom

Cell: 3.955 7.463 9.206 Å, 132.18 90.00 105.37°
Atoms (fractional coordinates):
1 O 0.782 0.564 0.862
2 Hg 0.388 0.776 0.187
3 K 0.819 0.639 0.423
4 O 0.218 0.436 0.138
5 K 0.181 0.361 0.577
6 O 0.439 0.879 0.766
7 Ac 0.000 0.000 0.000
8 O 0.561 0.121 0.234
9 Hg 0.612 0.224 0.813

---

No. 3
# KAc2HgO4

KAc2HgO4 after structural relaxation (GGA-PBE, Alexandria).

Computed properties:
E_form (uncorrected): -2.155 eV/atom

Cell: 3.882 6.688 13.957 Å, 90.00 90.00 106.87°
Atoms (fractional coordinates):
1 O 0.251 0.502 0.079
2 O 0.749 0.498 0.921
3 O 0.582 0.163 0.250
4 O 0.000 0.000 0.000
5 Hg 0.205 0.409 0.250
6 Ac 0.369 0.737 0.941
7 Ac 0.369 0.737 0.559
8 O 0.418 0.837 0.750
9 Hg 0.795 0.591 0.750
10 O 0.251 0.502 0.421
11 Ac 0.631 0.263 0.059
12 K 0.069 0.137 0.750
13 K 0.931 0.863 0.250
14 O 0.000 0.000 0.500
15 Ac 0.631 0.263 0.441
16 O 0.749 0.498 0.579

---

No. 4
# KAcHgO3

KAcHgO3 after structural relaxation (GGA-PBE, Alexandria).

Computed properties:
E_form (uncorrected): -1.705 eV/atom

Cell: 3.833 7.853 8.748 Å, 89.99 90.00 90.00°
Atoms (fractional coordinates):
1 O 0.250 0.828 0.549
2 O 0.250 0.184 0.839
3 O 0.750 0.816 0.161
4 K 0.750 0.871 0.821
5 Ac 0.250 0.609 0.160
6 O 0.750 0.172 0.451
7 K 0.250 0.129 0.179
8 O 0.250 0.589 0.892
9 Hg 0.750 0.851 0.421
10 Ac 0.750 0.391 0.840
11 Hg 0.250 0.149 0.579
12 O 0.750 0.411 0.108

---

No. 5
# KAcHg2O4

KAcHg2O4 after structural relaxation (GGA-PBE, Alexandria).

Computed properties:
E_form (uncorrected): -1.423 eV/atom

Cell: 6.395 5.954 5.954 Å, 69.18 57.52 57.52°
Atoms (fractional coordinates):
1 Hg 0.217 0.283 0.283
2 O 0.944 0.460 0.123
3 O 0.056 0.877 0.540
4 Ac 0.500 0.500 0.500
5 O 0.527 0.540 0.877
6 O 0.473 0.123 0.460
7 Hg 0.783 0.717 0.717
8 K 0.000 0.000 0.000

---

No. 6
# KAcHgP

KAcHgP after structural relaxation (GGA-PBE, Alexandria).

Computed properties:
E_form: -407.6 meV/atom

Cell: 5.495 5.495 5.495 Å, 60.00 60.00 60.00°
Atoms (fractional coordinates):
1 K 0.000 0.000 0.000
2 Ac 0.500 0.500 0.500
3 P 0.250 0.250 0.250
4 Hg 0.750 0.750 0.750

---

Values of total DFT energy (no corrections), in order: -64.3; -39.6; -46.7; -30.6; -37.0; -12.5, all in eV/f.u..